# TcHg2Mo

TcHg2Mo after structural relaxation (PBE, Alexandria via LeMat-Bulk).

Lattice parameters (Å, degrees): 2.806 4.774 5.494 90.00 102.30 90.00
Space group P2/m (No. 10)
Asymmetric unit:
Tc  0.000  0.000  0.000 x1
Hg  0.216  0.500  0.752 x2
Mo  0.500  0.000  0.500 x1

Values from the calculation:
ΔE_f   0.728 eV/atom